Entry 1:
# Hf3Ag | the Alexandria database | GGA-PBE | optimized geometry
data_Hf3Ag
_chemical_formula_sum 'Hf6 Ag2'
_space_group_name_H-M_alt 'I m m 2'
_space_group_IT_number 44
_space_group_name_Hall 'I 2 -2'
_cell_length_a 3.168
_cell_length_b 9.913
_cell_length_c 5.365
_cell_angle_alpha 90.00
_cell_angle_beta 90.00
_cell_angle_gamma 90.00
loop_
_atom_site_label
_atom_site_fract_x
_atom_site_fract_y
_atom_site_fract_z
Hf1 0.000 0.000 0.000
Hf2 0.000 0.232 0.609
Ag1 0.000 0.500 0.959
# total moment = 0.0 μB per formula unit
# electronic total energy = -8.1316 eV/atom
# energy above the lowest structure with this stoichiometry = 0.043 eV per atom
# DFT formation energy = 46 meV per atom

Entry 2:
# Hf3Ag | the Alexandria database | GGA-PBE | optimized geometry
data_Hf3Ag
_chemical_formula_sum 'Hf6 Ag2'
_space_group_name_H-M_alt 'P 4/n m m'
_space_group_IT_number 129
_cell_length_a 3.157
_cell_length_b 3.157
_cell_length_c 17.033
_cell_angle_alpha 90.00
_cell_angle_beta 90.00
_cell_angle_gamma 90.00
loop_
_space_group_symop_operation_xyz
'x,y,z'
'-x,-y,-z'
'-y+1/2,x,z'
'y+1/2,-x,-z'
'-x+1/2,-y+1/2,z'
'x+1/2,y+1/2,-z'
'y,-x+1/2,z'
'-y,x+1/2,-z'
'x+1/2,-y,-z'
'-x+1/2,y,z'
'-y,-x,-z'
'y,x,z'
'-x,y+1/2,-z'
'x,-y+1/2,z'
'y+1/2,x+1/2,-z'
'-y+1/2,-x+1/2,z'
loop_
_atom_site_label
_atom_site_fract_x
_atom_site_fract_y
_atom_site_fract_z
Hf1 0.250 0.250 0.066
Hf2 0.250 0.250 0.325
Hf3 0.250 0.250 0.802
Ag1 0.250 0.250 0.555
# total moment = 0.0 μB per formula unit
# electronic total energy = -8.1743 eV/atom
# energy above the lowest structure with this stoichiometry = 0.000 eV per atom
# DFT formation energy = 4 meV per atom

Entry 3:
# HfAgHg3 | the Alexandria database | GGA-PBE | optimized geometry
data_HfAgHg3
_chemical_formula_sum 'Hf1 Ag1 Hg3'
_space_group_name_H-M_alt 'P m -3 m'
_space_group_IT_number 221
_space_group_name_Hall '-P 4 2 3'
_cell_length_a 5.536
_cell_length_b 5.536
_cell_length_c 5.536
_cell_angle_alpha 90.00
_cell_angle_beta 90.00
_cell_angle_gamma 90.00
loop_
_atom_site_label
_atom_site_fract_x
_atom_site_fract_y
_atom_site_fract_z
Hf1 0.000 0.000 0.000
Ag1 0.500 0.500 0.500
Hg1 0.000 0.000 0.500
# total moment = 0.0 μB per formula unit
# electronic total energy = -1.9930 eV/atom
# energy above the lowest structure with this stoichiometry = 0.000 eV per atom
# DFT formation energy = 749 meV per atom

Entry 4:
# HfAg2Hg2 | the Alexandria database | GGA-PBE | optimized geometry
data_HfAg2Hg2
_chemical_formula_sum 'Hf2 Ag4 Hg4'
_space_group_name_H-M_alt 'P 4/m b m'
_space_group_IT_number 127
_space_group_name_Hall '-P 4 2ab'
_cell_length_a 8.124
_cell_length_b 8.124
_cell_length_c 3.136
_cell_angle_alpha 90.00
_cell_angle_beta 90.00
_cell_angle_gamma 90.00
loop_
_atom_site_label
_atom_site_fract_x
_atom_site_fract_y
_atom_site_fract_z
Hf1 0.000 0.000 0.000
Ag1 0.167 0.333 0.500
Hg1 0.134 0.634 0.000
# total moment = 0.0 μB per formula unit
# electronic total energy = -3.0139 eV/atom
# energy above the lowest structure with this stoichiometry = 0.029 eV per atom
# DFT formation energy = 238 meV per atom

Entry 5:
# Hf2Ag2Hg | the Alexandria database | GGA-PBE | optimized geometry
data_Hf2Ag2Hg
_chemical_formula_sum 'Hf4 Ag4 Hg2'
_space_group_name_H-M_alt 'P 4/m b m'
_space_group_IT_number 127
_space_group_name_Hall '-P 4 2ab'
_cell_length_a 8.297
_cell_length_b 8.297
_cell_length_c 3.093
_cell_angle_alpha 90.00
_cell_angle_beta 90.00
_cell_angle_gamma 90.00
loop_
_atom_site_label
_atom_site_fract_x
_atom_site_fract_y
_atom_site_fract_z
Hf1 0.170 0.330 0.000
Ag1 0.126 0.626 0.500
Hg1 0.000 0.000 0.000
# total moment = 0.0 μB per formula unit
# electronic total energy = -4.9512 eV/atom
# energy above the lowest structure with this stoichiometry = 0.114 eV per atom
# DFT formation energy = 231 meV per atom

Entry 6:
# Hf4AgHg | the Alexandria database | GGA-PBE | optimized geometry
data_Hf4AgHg
_chemical_formula_sum 'Hf4 Ag1 Hg1'
_space_group_name_H-M_alt 'P 4/m m m'
_space_group_IT_number 123
_space_group_name_Hall '-P 4 2'
_cell_length_a 3.244
_cell_length_b 3.244
_cell_length_c 12.142
_cell_angle_alpha 90.00
_cell_angle_beta 90.00
_cell_angle_gamma 90.00
loop_
_atom_site_label
_atom_site_fract_x
_atom_site_fract_y
_atom_site_fract_z
Hf1 0.000 0.000 0.162
Hf2 0.500 0.500 0.329
Ag1 0.500 0.500 0.000
Hg1 0.000 0.000 0.500
# total moment = 0.0 μB per formula unit
# electronic total energy = -7.2787 eV/atom
# DFT formation energy = -118 meV per atom

Entry 7:
# HfAg4Hg | the Alexandria database | GGA-PBE | optimized geometry
data_HfAg4Hg
_chemical_formula_sum 'Hf4 Ag16 Hg4'
_space_group_name_H-M_alt 'F -4 3 m'
_space_group_IT_number 216
_space_group_name_Hall 'F -4 2 3'
_cell_length_a 7.730
_cell_length_b 7.730
_cell_length_c 7.730
_cell_angle_alpha 90.00
_cell_angle_beta 90.00
_cell_angle_gamma 90.00
loop_
_atom_site_label
_atom_site_fract_x
_atom_site_fract_y
_atom_site_fract_z
Hf1 0.000 0.000 0.000
Ag1 0.125 0.125 0.625
Hg1 0.250 0.250 0.250
# total moment = 0.0 μB per formula unit
# electronic total energy = -3.4602 eV/atom
# DFT formation energy = 150 meV per atom

Entry 8:
# Hf2Ag2Hg | the Alexandria database | GGA-PBE | optimized geometry
data_Hf2Ag2Hg
_chemical_formula_sum 'Hf4 Ag4 Hg2'
_space_group_name_H-M_alt 'P 4/m b m'
_space_group_IT_number 127
_space_group_name_Hall '-P 4 2ab'
_cell_length_a 7.488
_cell_length_b 7.488
_cell_length_c 3.631
_cell_angle_alpha 90.00
_cell_angle_beta 90.00
_cell_angle_gamma 90.00
loop_
_atom_site_label
_atom_site_fract_x
_atom_site_fract_y
_atom_site_fract_z
Hf1 0.168 0.332 0.000
Ag1 0.130 0.630 0.500
Hg1 0.000 0.000 0.500
# total moment = 0.0 μB per formula unit
# electronic total energy = -5.0649 eV/atom
# energy above the lowest structure with this stoichiometry = 0.000 eV per atom
# DFT formation energy = 117 meV per atom

Entry 9:
# HfAg3Hg | the Alexandria database | GGA-PBE | optimized geometry
data_HfAg3Hg
_chemical_formula_sum 'Hf1 Ag3 Hg1'
_space_group_name_H-M_alt 'P m -3 m'
_space_group_IT_number 221
_space_group_name_Hall '-P 4 2 3'
_cell_length_a 5.375
_cell_length_b 5.375
_cell_length_c 5.375
_cell_angle_alpha 90.00
_cell_angle_beta 90.00
_cell_angle_gamma 90.00
loop_
_atom_site_label
_atom_site_fract_x
_atom_site_fract_y
_atom_site_fract_z
Hf1 0.000 0.000 0.000
Ag1 0.000 0.000 0.500
Hg1 0.500 0.500 0.500
# total moment = 0.0 μB per formula unit
# electronic total energy = -2.6846 eV/atom
# energy above the lowest structure with this stoichiometry = 0.023 eV per atom
# DFT formation energy = 1077 meV per atom

Entry 10:
# HfAg3Hg | the Alexandria database | GGA-PBE | optimized geometry
data_HfAg3Hg
_chemical_formula_sum 'Hf1 Ag3 Hg1'
_space_group_name_H-M_alt 'P m -3 m'
_space_group_IT_number 221
_space_group_name_Hall '-P 4 2 3'
_cell_length_a 5.066
_cell_length_b 5.066
_cell_length_c 5.066
_cell_angle_alpha 90.00
_cell_angle_beta 90.00
_cell_angle_gamma 90.00
loop_
_atom_site_label
_atom_site_fract_x
_atom_site_fract_y
_atom_site_fract_z
Hf1 0.000 0.000 0.000
Ag1 0.000 0.500 0.500
Hg1 0.500 0.500 0.500
# total moment = 0.9 μB per formula unit
# electronic total energy = -2.7080 eV/atom
# energy above the lowest structure with this stoichiometry = 0.000 eV per atom
# DFT formation energy = 1054 meV per atom

Entry 11:
# Hf2AgHg2 | the Alexandria database | GGA-PBE | optimized geometry
data_Hf2AgHg2
_chemical_formula_sum 'Hf4 Ag2 Hg4'
_space_group_name_H-M_alt 'P 4/m b m'
_space_group_IT_number 127
_space_group_name_Hall '-P 4 2ab'
_cell_length_a 7.250
_cell_length_b 7.250
_cell_length_c 4.055
_cell_angle_alpha 90.00
_cell_angle_beta 90.00
_cell_angle_gamma 90.00
loop_
_atom_site_label
_atom_site_fract_x
_atom_site_fract_y
_atom_site_fract_z
Hf1 0.164 0.336 0.000
Ag1 0.000 0.000 0.500
Hg1 0.140 0.640 0.500
# total moment = 0.0 μB per formula unit
# electronic total energy = -4.5526 eV/atom
# energy above the lowest structure with this stoichiometry = 0.177 eV per atom
# DFT formation energy = 120 meV per atom

Entry 12:
# Hf3Ag2Hg2 | the Alexandria database | GGA-PBE | optimized geometry
data_Hf3Ag2Hg2
_chemical_formula_sum 'Hf6 Ag4 Hg4'
_space_group_name_H-M_alt 'C m m m'
_space_group_IT_number 65
_space_group_name_Hall '-C 2 2'
_cell_length_a 3.147
_cell_length_b 30.840
_cell_length_c 3.126
_cell_angle_alpha 90.00
_cell_angle_beta 90.00
_cell_angle_gamma 90.00
loop_
_atom_site_label
_atom_site_fract_x
_atom_site_fract_y
_atom_site_fract_z
Hf1 0.000 0.000 0.000
Hf2 0.000 0.429 0.500
Ag1 0.000 0.138 0.000
Hg1 0.000 0.293 0.500
# total moment = 0.0 μB per formula unit
# electronic total energy = -5.1821 eV/atom
# DFT formation energy = -15 meV per atom

Entry 13:
# Hf3AgHg | the Alexandria database | GGA-PBE | optimized geometry
data_Hf3AgHg
_chemical_formula_sum 'Hf3 Ag1 Hg1'
_space_group_name_H-M_alt 'P m -3 m'
_space_group_IT_number 221
_space_group_name_Hall '-P 4 2 3'
_cell_length_a 5.074
_cell_length_b 5.074
_cell_length_c 5.074
_cell_angle_alpha 90.00
_cell_angle_beta 90.00
_cell_angle_gamma 90.00
loop_
_atom_site_label
_atom_site_fract_x
_atom_site_fract_y
_atom_site_fract_z
Hf1 0.000 0.000 0.500
Ag1 0.000 0.000 0.000
Hg1 0.500 0.500 0.500
# total moment = 0.0 μB per formula unit
# electronic total energy = -5.6387 eV/atom
# energy above the lowest structure with this stoichiometry = 0.000 eV per atom
# DFT formation energy = 964 meV per atom